Record 1
A plane-wave DFT calculation with PBE was carried out for a geometry-optimized BaSn4Hg structure.

Results
Its total DFT energy (no corrections) is -3.339 eV/atom. The formation energy from the elements is -0.30 eV/atom. The calculation puts the calculated volume at 30.89 A^3/atom. For the total moment, the calculation gives 0.0 μB/f.u.

Cell lengths 6.8165, 6.8165, 6.8165 Å; angles 138.45, 114.54, 80.58 degrees
Fractional coordinates of all 6 atoms:
1 Ba 0.0000 0.0000 0.0000
2 Sn 0.1308 0.3326 0.7982
3 Sn 0.4656 0.6674 0.7982
4 Sn 0.5344 0.3326 0.2018
5 Sn 0.8692 0.6674 0.2018
6 Hg 0.5000 0.0000 0.5000

=====

Record 2
A plane-wave DFT calculation with PBE was carried out for a geometry-optimized Ba3Sn2Hg9 structure.

Results
Its total DFT energy (no corrections) is -1.547 eV/atom. The formation energy from the elements is -0.37 eV/atom. The calculation puts the calculated volume at 30.07 A^3/atom. For the total moment, the calculation gives 0.0 μB/f.u.

Cell lengths 9.6269, 9.6269, 9.6269 Å; angles 149.62, 107.87, 80.24 degrees
Fractional coordinates of all 14 atoms:
1 Ba 0.0000 0.0000 0.0000
2 Ba 0.3133 0.3133 0.0000
3 Ba 0.6867 0.6867 0.0000
4 Sn 0.2830 0.5000 0.7830
5 Sn 0.7170 0.5000 0.2170
6 Hg 0.0374 0.6687 0.3687
7 Hg 0.1433 0.8650 0.2783
8 Hg 0.3000 0.6687 0.6313
9 Hg 0.4133 0.1350 0.2783
10 Hg 0.5000 0.0000 0.5000
11 Hg 0.5867 0.8650 0.7217
12 Hg 0.7000 0.3313 0.3687
13 Hg 0.8567 0.1350 0.7217
14 Hg 0.9626 0.3313 0.6313

=====

Record 3
A plane-wave DFT calculation with PBE was carried out for a geometry-optimized BaSn5Hg7 structure.

Results
Its total DFT energy (no corrections) is -1.932 eV/atom. The formation energy from the elements is -0.08 eV/atom. The calculation puts the calculated volume at 28.54 A^3/atom. For the total moment, the calculation gives 0.0 μB/f.u.

Cell lengths 8.1653, 8.1653, 6.5785 Å; angles 113.03, 113.03, 83.45 degrees
Fractional coordinates of all 13 atoms:
1 Ba 0.0000 0.0000 0.0000
2 Sn 0.0184 0.5115 0.0135
3 Sn 0.0204 0.5100 0.5160
4 Sn 0.5100 0.0204 0.5160
5 Sn 0.5115 0.0184 0.0135
6 Sn 0.7700 0.7700 0.2739
7 Hg 0.2049 0.8209 0.5110
8 Hg 0.2378 0.2378 0.7395
9 Hg 0.3575 0.3575 0.3491
10 Hg 0.3609 0.6633 0.0077
11 Hg 0.6405 0.6405 0.6438
12 Hg 0.6633 0.3609 0.0077
13 Hg 0.8209 0.2049 0.5110

=====

Record 4
A plane-wave DFT calculation with PBE was carried out for a geometry-optimized Ba4SnHg structure.

Results
Its total DFT energy (no corrections) is -2.380 eV/atom. The formation energy from the elements is -0.38 eV/atom. The calculation puts the calculated volume at 49.56 A^3/atom. For the total moment, the calculation gives 0.1 μB/f.u.

Cell lengths 5.8832, 5.8832, 8.5904 Å; angles 90.00, 90.00, 90.00 degrees
Fractional coordinates of all 6 atoms:
1 Ba 0.0000 0.5000 0.2485
2 Ba 0.0000 0.5000 0.7515
3 Ba 0.5000 0.0000 0.2485
4 Ba 0.5000 0.0000 0.7515
5 Sn 0.0000 0.0000 0.0000
6 Hg 0.5000 0.5000 0.5000

=====

Record 5
A plane-wave DFT calculation with PBE was carried out for a geometry-optimized BaSn4Hg2 structure.

Results
Its total DFT energy (no corrections) is -2.891 eV/atom. The formation energy from the elements is -0.24 eV/atom. The calculation puts the calculated volume at 31.00 A^3/atom. For the total moment, the calculation gives 0.0 μB/f.u.

Cell lengths 6.1321, 6.1330, 6.5465 Å; angles 72.02, 72.27, 72.32 degrees
Fractional coordinates of all 7 atoms:
1 Ba 0.0000 0.0000 0.0000
2 Sn 0.0436 0.6305 0.6318
3 Sn 0.3723 0.9560 0.3658
4 Sn 0.6277 0.0440 0.6342
5 Sn 0.9564 0.3695 0.3682
6 Hg 0.3851 0.3875 0.9178
7 Hg 0.6149 0.6125 0.0822

=====

Record 6
A plane-wave DFT calculation with PBE was carried out for a geometry-optimized BaSn2Hg4 structure.

Results
Its total DFT energy (no corrections) is -1.840 eV/atom. The formation energy from the elements is -0.25 eV/atom. The calculation puts the calculated volume at 29.71 A^3/atom. For the total moment, the calculation gives 0.0 μB/f.u.

Cell lengths 4.8740, 5.1196, 9.4492 Å; angles 101.60, 94.20, 113.92 degrees
Fractional coordinates of all 7 atoms:
1 Ba 0.0000 0.0000 0.0000
2 Sn 0.1559 0.2865 0.4383
3 Sn 0.8441 0.7135 0.5617
4 Hg 0.2631 0.5403 0.7985
5 Hg 0.4335 0.8606 0.2874
6 Hg 0.5665 0.1394 0.7126
7 Hg 0.7369 0.4597 0.2015

=====

Record 7
A plane-wave DFT calculation with PBE was carried out for a geometry-optimized BaSnHg11 structure.

Results
Its total DFT energy (no corrections) is -0.814 eV/atom. The formation energy from the elements is -0.10 eV/atom. The calculation puts the calculated volume at 28.51 A^3/atom. For the total moment, the calculation gives 0.0 μB/f.u.

Cell lengths 9.0950, 9.0950, 7.3873 Å; angles 96.05, 96.05, 140.35 degrees
Fractional coordinates of all 13 atoms:
1 Ba 0.0000 0.0000 0.0000
2 Sn 0.5000 0.5000 0.5000
3 Hg 0.0000 0.0000 0.5000
4 Hg 0.0000 0.5000 0.0000
5 Hg 0.0035 0.6525 0.6350
6 Hg 0.2838 0.5019 0.7865
7 Hg 0.3475 0.9965 0.3650
8 Hg 0.4981 0.7162 0.2135
9 Hg 0.5000 0.0000 0.0000
10 Hg 0.5019 0.2838 0.7865
11 Hg 0.6525 0.0035 0.6350
12 Hg 0.7162 0.4981 0.2135
13 Hg 0.9965 0.3475 0.3650

=====

Record 8
A plane-wave DFT calculation with PBE was carried out for a geometry-optimized BaSn2Hg2 structure.

Results
Its total DFT energy (no corrections) is -2.496 eV/atom. The formation energy from the elements is -0.39 eV/atom. The calculation puts the calculated volume at 30.59 A^3/atom. For the total moment, the calculation gives 0.0 μB/f.u.

Cell lengths 7.1143, 7.1143, 7.1143 Å; angles 139.08, 139.08, 59.25 degrees
Fractional coordinates of all 5 atoms:
1 Ba 0.0000 0.0000 0.0000
2 Sn 0.2500 0.7500 0.5000
3 Sn 0.7500 0.2500 0.5000
4 Hg 0.3861 0.3861 0.0000
5 Hg 0.6139 0.6139 0.0000

=====

Record 9
A plane-wave DFT calculation with PBE was carried out for a geometry-optimized BaSn2Hg structure.

Results
Its total DFT energy (no corrections) is -2.861 eV/atom. The formation energy from the elements is -0.30 eV/atom. The calculation puts the calculated volume at 33.30 A^3/atom. For the total moment, the calculation gives 0.0 μB/f.u.

Cell lengths 6.6945, 6.6945, 6.6945 Å; angles 44.33, 44.33, 44.33 degrees
Fractional coordinates of all 4 atoms:
1 Ba 0.0000 0.0000 0.0000
2 Sn 0.2141 0.2141 0.2141
3 Sn 0.7859 0.7859 0.7859
4 Hg 0.5000 0.5000 0.5000

=====

Record 10
A plane-wave DFT calculation with PBE was carried out for a geometry-optimized Ba2Sn3Hg5 structure.

Results
Its total DFT energy (no corrections) is -2.124 eV/atom. The formation energy from the elements is -0.39 eV/atom. The calculation puts the calculated volume at 30.38 A^3/atom. For the total moment, the calculation gives 0.0 μB/f.u.

Cell lengths 9.9684, 9.9684, 9.9684 Å; angles 106.47, 88.39, 138.12 degrees
Fractional coordinates of all 20 atoms:
1 Ba 0.1264 0.2454 0.3717
2 Ba 0.3736 0.7454 0.1190
3 Ba 0.6264 0.2546 0.8810
4 Ba 0.8736 0.7546 0.6283
5 Sn 0.1291 0.8754 0.0045
6 Sn 0.2500 0.7500 0.5000
7 Sn 0.3709 0.3754 0.7464
8 Sn 0.6291 0.6246 0.2536
9 Sn 0.7500 0.2500 0.5000
10 Sn 0.8709 0.1246 0.9955
11 Hg 0.0078 0.7500 0.2578
12 Hg 0.1210 0.6392 0.7602
13 Hg 0.2500 0.2500 0.0000
14 Hg 0.3790 0.1392 0.5181
15 Hg 0.4922 0.7500 0.7422
16 Hg 0.5078 0.2500 0.2578
17 Hg 0.6210 0.8608 0.4819
18 Hg 0.7500 0.7500 0.0000
19 Hg 0.8790 0.3608 0.2398
20 Hg 0.9922 0.2500 0.7422

=====

Record 11
A plane-wave DFT calculation with PBE was carried out for a geometry-optimized BaSn2Hg2 structure.

Results
Its total DFT energy (no corrections) is -2.298 eV/atom. The formation energy from the elements is -0.19 eV/atom. The calculation puts the calculated volume at 30.10 A^3/atom. For the total moment, the calculation gives 0.0 μB/f.u.

Cell lengths 8.8889, 8.8889, 3.8095 Å; angles 90.00, 90.00, 90.00 degrees
Fractional coordinates of all 10 atoms:
1 Ba 0.0000 0.0000 0.0000
2 Ba 0.5000 0.5000 0.0000
3 Sn 0.1240 0.3760 0.0000
4 Sn 0.3760 0.8760 0.0000
5 Sn 0.6240 0.1240 0.0000
6 Sn 0.8760 0.6240 0.0000
7 Hg 0.1686 0.6686 0.5000
8 Hg 0.3314 0.1686 0.5000
9 Hg 0.6686 0.8314 0.5000
10 Hg 0.8314 0.3314 0.5000

=====

Record 12
A plane-wave DFT calculation with PBE was carried out for a geometry-optimized BaSn6Hg structure.

Results
Its total DFT energy (no corrections) is -3.465 eV/atom. The formation energy from the elements is -0.18 eV/atom. The calculation puts the calculated volume at 30.47 A^3/atom. For the total moment, the calculation gives 0.0 μB/f.u.

Cell lengths 5.0784, 7.4279, 7.4279 Å; angles 60.47, 90.00, 90.00 degrees
Fractional coordinates of all 8 atoms:
1 Ba 0.0000 0.0000 0.0000
2 Sn 0.0000 0.5128 0.9743
3 Sn 0.0000 0.5180 0.5180
4 Sn 0.0000 0.9743 0.5128
5 Sn 0.5000 0.1975 0.1975
6 Sn 0.5000 0.2011 0.6076
7 Sn 0.5000 0.6076 0.2011
8 Hg 0.5000 0.6732 0.6732